## YZrNp (PBE)

Data for a relaxed YZrNp crystal.

As for the total energy: -54.61 eV per cell. Its space group is C2/m, No. 12.

abc: 8.388 8.388 5.314
angles: 96.67 96.67 23.81
Positions (direct):
Y1 0.065 0.065 0.273
Y2 0.935 0.935 0.727
Zr1 0.377 0.377 0.205
Zr2 0.623 0.623 0.795
Np1 0.260 0.260 0.659
Np2 0.740 0.740 0.341

***

## LiCaGa2Ru (PBE)

Data for a relaxed LiCaGa2Ru crystal.

As for the total energy: -20.36 eV per cell. Its space group is P4/mmm, No. 123.

abc: 4.759 4.759 4.772
angles: 90.00 90.00 90.00
Positions (direct):
Li1 0.000 0.000 0.000
Ca1 0.500 0.500 0.000
Ga1 0.000 0.500 0.500
Ga2 0.500 0.000 0.500
Ru1 0.000 0.000 0.500

***

## CuHgAuN2 (PBE)

Data for a relaxed CuHgAuN2 crystal.

As for the total energy: -13.72 eV per cell. Its space group is P4/mmm, No. 123.

abc: 4.161 4.161 5.371
angles: 90.00 90.00 90.00
Positions (direct):
Cu1 0.000 0.000 0.000
Hg1 0.000 0.000 0.500
Au1 0.500 0.500 0.000
N1 0.000 0.500 0.500
N2 0.500 0.000 0.500

***

## Ba4H2Pt (PBE)

Data for a relaxed Ba4H2Pt crystal.

As for the total energy: -22.47 eV per cell. Its space group is I4/mmm, No. 139.

abc: 8.278 8.278 8.278
angles: 136.75 136.75 62.82
Positions (direct):
Ba1 0.000 0.500 0.500
Ba2 0.234 0.234 0.000
Ba3 0.500 0.000 0.500
Ba4 0.766 0.766 0.000
H1 0.415 0.415 0.000
H2 0.585 0.585 0.000
Pt1 0.000 0.000 0.000

***

## CdGaC2Cl (PBE)

Data for a relaxed CdGaC2Cl crystal.

As for the total energy: -14.33 eV per cell. Its space group is P4/mmm, No. 123.

abc: 4.355 4.355 5.934
angles: 90.00 90.00 90.00
Positions (direct):
Cd1 0.000 0.000 0.000
Ga1 0.500 0.500 0.500
C1 0.000 0.500 0.000
C2 0.500 0.000 0.000
Cl1 0.000 0.000 0.500

***

## Sm4TlGe2 (PBE)

Data for a relaxed Sm4TlGe2 crystal.

As for the total energy: -33.85 eV per cell. Its space group is R-3m, No. 166.

abc: 11.135 11.135 11.135
angles: 24.57 24.57 24.57
Positions (direct):
Sm1 0.114 0.114 0.114
Sm2 0.299 0.299 0.299
Sm3 0.701 0.701 0.701
Sm4 0.886 0.886 0.886
Tl1 0.500 0.500 0.500
Ge1 0.401 0.401 0.401
Ge2 0.599 0.599 0.599

***

## Sr3YSe4 (PBE)

Data for a relaxed Sr3YSe4 crystal.

As for the total energy: -41.14 eV per cell. Its space group is Cmmm, No. 65.

abc: 7.528 7.528 4.322
angles: 90.00 90.00 109.22
Positions (direct):
Sr1 0.000 0.000 0.000
Sr2 0.000 0.500 0.500
Sr3 0.500 0.000 0.500
Y1 0.500 0.500 0.000
Se1 0.259 0.741 0.000
Se2 0.265 0.265 0.500
Se3 0.735 0.735 0.500
Se4 0.741 0.259 0.000

***

## Y2CdRh (PBE)

Data for a relaxed Y2CdRh crystal.

As for the total energy: -22.94 eV per cell. Its space group is Cm, No. 8.

abc: 6.413 6.413 4.881
angles: 112.26 112.26 31.35
Positions (direct):
Y1 0.000 0.000 0.000
Y2 0.206 0.206 0.706
Cd1 0.800 0.800 0.299
Rh1 0.503 0.503 0.503